[1]
A relaxed structure of YHoNiRh. Source: Alexandria, functional PBE-GGA.

POSCAR file:
```
YHoNiRh
1.0
4.821 0.000 0.000
2.410 4.175 0.000
2.410 1.392 3.936
Ho Ni Y Rh
1 1 1 1
direct
0.250 0.250 0.250
0.000 0.000 0.000
0.750 0.750 0.750
0.500 0.500 0.500
```

Its formation energy is -628 meV/atom. The density of states at the Fermi level comes out at 1.91 states/eV per cell. The total DFT energy (no corrections) is -6.671 eV per atom.



[2]
A relaxed structure of YHoNiRh. Source: Alexandria, functional PBE-GGA.

POSCAR file:
```
YHoNiRh
1.0
3.801 0.000 0.000
0.000 4.138 0.000
-1.900 0.000 5.270
Rh Y Ho Ni
1 1 1 1
direct
0.421 0.000 0.843
0.142 0.000 0.284
0.859 0.500 0.719
0.577 0.500 0.154
```

Its formation energy is -649 meV/atom. The density of states at the Fermi level comes out at 2.69 states/eV per cell. The total DFT energy (no corrections) is -6.692 eV per atom.



[3]
A relaxed structure of Ho2ZnNi2Rh5. Source: Alexandria, functional PBE-GGA.

POSCAR file:
```
Ho2ZnNi2Rh5
1.0
3.832 0.000 0.000
0.000 9.121 0.000
0.000 0.000 9.121
Rh Zn Ni Ho
10 2 4 4
direct
0.500 0.295 0.567
0.500 0.067 0.795
0.500 0.433 0.295
0.500 0.933 0.205
0.500 0.205 0.067
0.500 0.795 0.933
0.500 0.000 0.500
0.500 0.705 0.433
0.500 0.500 0.000
0.500 0.567 0.705
0.000 0.500 0.500
0.000 0.000 0.000
0.000 0.624 0.876
0.000 0.876 0.376
0.000 0.124 0.624
0.000 0.376 0.124
0.000 0.674 0.174
0.000 0.174 0.326
0.000 0.326 0.826
0.000 0.826 0.674
```

Its formation energy is -482 meV/atom. The density of states at the Fermi level comes out at 20.37 states/eV per cell. The total DFT energy (no corrections) is -6.357 eV per atom.



[4]
A relaxed structure of Ho2Zn5Ni2Rh. Source: Alexandria, functional PBE-GGA.

POSCAR file:
```
Ho2Zn5Ni2Rh
1.0
3.983 0.000 0.000
0.000 9.039 0.000
0.000 0.000 9.039
Zn Ni Ho Rh
10 4 4 2
direct
0.500 0.057 0.798
0.500 0.500 0.000
0.500 0.943 0.202
0.500 0.443 0.298
0.500 0.702 0.443
0.500 0.202 0.057
0.500 0.298 0.557
0.500 0.557 0.702
0.500 0.000 0.500
0.500 0.798 0.943
0.000 0.113 0.613
0.000 0.387 0.113
0.000 0.613 0.887
0.000 0.887 0.387
0.000 0.818 0.682
0.000 0.182 0.318
0.000 0.682 0.182
0.000 0.318 0.818
0.000 0.500 0.500
0.000 0.000 0.000
```

Its formation energy is -386 meV/atom. The density of states at the Fermi level comes out at 7.91 states/eV per cell. The total DFT energy (no corrections) is -3.830 eV per atom.



[5]
A relaxed structure of Ho3Ni7Ru2. Source: Alexandria, functional PBE-GGA.

POSCAR file:
```
Ho3Ni7Ru2
1.0
-1.944 4.569 -0.449
-1.618 1.595 -4.438
-8.749 -1.000 0.030
Ni Ho Ru
7 3 2
direct
0.585 0.585 0.748
0.917 0.415 0.252
0.083 0.585 0.748
0.585 0.083 0.748
0.500 0.500 0.500
0.415 0.917 0.252
0.415 0.415 0.252
0.138 0.138 0.585
0.862 0.862 0.415
0.000 0.000 0.000
0.333 0.333 0.001
0.667 0.667 0.999
```

Its formation energy is -350 meV/atom. The density of states at the Fermi level comes out at 10.02 states/eV per cell. The total DFT energy (no corrections) is -6.413 eV per atom.



[6]
A relaxed structure of Ho4NiRu. Source: Alexandria, functional PBE-GGA.

POSCAR file:
```
Ho4NiRu
1.0
-4.392 0.544 -4.287
3.343 -4.020 -3.936
-1.815 -5.819 4.402
Ni Ho Ru
2 8 2
direct
0.235 0.250 0.562
0.765 0.750 0.438
0.432 0.750 0.106
0.001 0.500 0.256
0.568 0.250 0.894
0.999 0.500 0.744
0.001 0.000 0.256
0.447 0.750 0.614
0.999 0.000 0.744
0.553 0.250 0.386
0.780 0.750 0.947
0.220 0.250 0.053
```

Its formation energy is -311 meV/atom. The density of states at the Fermi level comes out at 10.34 states/eV per cell. The total DFT energy (no corrections) is -5.872 eV per atom.



[7]
A relaxed structure of Ho7Ni2Ru2. Source: Alexandria, functional PBE-GGA.

POSCAR file:
```
Ho7Ni2Ru2
1.0
6.353 -0.002 -1.047
0.003 6.957 0.004
-1.441 -0.002 6.276
Ho Ni Ru
7 2 2
direct
0.500 0.737 0.500
0.500 0.263 0.500
0.500 0.277 0.000
0.000 0.277 0.500
0.000 0.723 0.500
0.000 0.000 0.000
0.500 0.723 0.000
0.832 0.500 0.832
0.168 0.500 0.168
0.302 0.000 0.698
0.698 0.000 0.302
```

Its formation energy is -137 meV/atom. The density of states at the Fermi level comes out at 7.19 states/eV per cell. The total DFT energy (no corrections) is -5.788 eV per atom.



[8]
A relaxed structure of Ho8Ni2Ru. Source: Alexandria, functional PBE-GGA.

POSCAR file:
```
Ho8Ni2Ru
1.0
-1.435 1.618 4.496
-5.158 -4.134 -0.159
7.094 -5.082 1.325
Ho Ni Ru
8 2 1
direct
0.592 0.445 0.184
0.408 0.555 0.816
0.800 0.677 0.600
0.670 0.976 0.341
0.964 0.207 0.929
0.036 0.793 0.071
0.200 0.323 0.400
0.330 0.024 0.659
0.188 0.714 0.376
0.812 0.286 0.624
0.500 0.000 0.000
```

Its formation energy is -253 meV/atom. The density of states at the Fermi level comes out at 11.68 states/eV per cell. The total DFT energy (no corrections) is -5.476 eV per atom.



[9]
A relaxed structure of Ho2Ni3Ru. Source: Alexandria, functional PBE-GGA.

POSCAR file:
```
Ho2Ni3Ru
1.0
-3.035 3.390 2.208
-1.492 -2.381 -4.205
0.772 -4.594 2.312
Ru Ho Ni
1 2 3
direct
0.000 0.000 0.000
0.248 0.624 0.872
0.752 0.376 0.128
0.000 0.000 0.500
0.500 0.000 0.500
0.500 0.500 0.500
```

Its formation energy is -418 meV/atom. The density of states at the Fermi level comes out at 5.39 states/eV per cell. The total DFT energy (no corrections) is -6.381 eV per atom.



[10]
A relaxed structure of Ho6NiRu5. Source: Alexandria, functional PBE-GGA.

POSCAR file:
```
Ho6NiRu5
1.0
4.542 -0.027 1.516
0.036 6.775 0.012
0.010 -0.014 7.555
Ru Ni Ho
5 1 6
direct
0.334 0.500 0.332
0.665 0.000 0.670
0.000 0.500 0.000
0.666 0.500 0.668
0.335 0.000 0.330
0.000 0.000 0.000
0.832 0.251 0.335
0.500 0.251 0.000
0.500 0.749 0.000
0.168 0.251 0.665
0.168 0.749 0.665
0.832 0.749 0.335
```

Its formation energy is -383 meV/atom. The density of states at the Fermi level comes out at 10.54 states/eV per cell. The total DFT energy (no corrections) is -7.019 eV per atom.



[11]
A relaxed structure of Ho6NiRu2. Source: Alexandria, functional PBE-GGA.

POSCAR file:
```
Ho6NiRu2
1.0
6.435 0.000 0.368
0.000 7.345 0.000
-0.264 0.000 9.361
Ho Ni Ru
12 2 4
direct
0.654 0.452 0.258
0.168 0.326 0.433
0.832 0.674 0.567
0.668 0.174 0.933
0.332 0.826 0.067
0.154 0.048 0.758
0.343 0.826 0.430
0.346 0.548 0.742
0.157 0.326 0.070
0.846 0.952 0.242
0.843 0.674 0.930
0.657 0.174 0.570
0.000 0.000 0.500
0.500 0.500 0.000
0.540 0.882 0.762
0.040 0.618 0.262
0.960 0.382 0.738
0.460 0.118 0.238
```

Its formation energy is -320 meV/atom. The density of states at the Fermi level comes out at 13.10 states/eV per cell. The total DFT energy (no corrections) is -6.075 eV per atom.



[12]
A relaxed structure of Ho2NiRu3. Source: Alexandria, functional PBE-GGA.

POSCAR file:
```
Ho2NiRu3
1.0
2.312 2.214 -4.152
-0.096 -5.221 0.467
-5.264 0.138 0.458
Ho Ru Ni
2 3 1
direct
0.754 0.377 0.131
0.246 0.623 0.869
0.500 0.000 0.500
0.500 0.500 0.500
0.000 0.000 0.500
0.000 0.000 0.000
```

Its formation energy is -380 meV/atom. The density of states at the Fermi level comes out at 3.35 states/eV per cell. The total DFT energy (no corrections) is -7.507 eV per atom.